# 1
PBE TbPm2CuTe5, relaxed; space group = Cmc2_1; raw total energy = -4.9635 eV/atom; uncorrected formation energy = -115 kJ per mole of atoms; magnetization = 0.0 μB per formula unit
1.0
2.1486 -9.5213 0.0000
2.1486 9.5213 0.0000
0.0000 0.0000 13.0046
Tb Pm Cu Te
2 4 2 10
direct
0.1905 0.8095 0.5000 Tb
0.8095 0.1905 0.0000 Tb
0.1089 0.8911 0.1759 Pm
0.1238 0.8762 0.7968 Pm
0.8762 0.1238 0.2968 Pm
0.8911 0.1089 0.6759 Pm
0.4291 0.5709 0.9492 Cu
0.5709 0.4291 0.4492 Cu
0.0409 0.9591 0.5554 Te
0.2863 0.7137 0.1646 Te
0.3135 0.6865 0.8317 Te
0.3553 0.6447 0.4898 Te
0.4999 0.5001 0.2770 Te
0.5001 0.4999 0.7770 Te
0.6447 0.3553 0.9898 Te
0.6865 0.3135 0.3317 Te
0.7137 0.2863 0.6646 Te
0.9591 0.0409 0.0554 Te

---

# 2
PBE TaVS, relaxed; space group = P2_1/c; offset from the most stable computed form = 0 meV per atom; raw total energy = -8.9618 eV/atom; uncorrected formation energy = -57 kJ per mole of atoms; magnetization = 0.0 μB per formula unit
1.0
5.6748 0.0000 0.0000
0.0000 5.1125 0.0000
-1.8129 0.0000 6.1267
Ta V S
4 4 4
direct
0.0405 0.2454 0.3868 Ta
0.0405 0.2546 0.8868 Ta
0.9595 0.7454 0.1132 Ta
0.9595 0.7546 0.6132 Ta
0.3849 0.7496 0.4709 V
0.3849 0.7504 0.9709 V
0.6151 0.2496 0.0291 V
0.6151 0.2504 0.5291 V
0.3438 0.0787 0.2109 S
0.3438 0.4213 0.7109 S
0.6562 0.5787 0.2891 S
0.6562 0.9213 0.7891 S

---

# 3
PBE Re3Ag, relaxed; space group = Cmmm; offset from the most stable computed form = 269 meV per atom; raw total energy = -9.5037 eV/atom; ΔH_f (0 K) = 2.181 eV per formula unit; magnetization = 0.0 μB per formula unit
1.0
2.7732 -3.9719 0.0000
2.7732 3.9719 0.0000
0.0000 0.0000 2.7839
Re Ag
3 1
direct
0.0000 0.0000 0.0000 Re
0.0000 0.5000 0.5000 Re
0.5000 0.0000 0.5000 Re
0.5000 0.5000 0.0000 Ag

---

# 4
PBE K2TbHg2Te4, relaxed; space group = C2/m; raw total energy = -3.0051 eV/atom; uncorrected formation energy = -76 kJ per mole of atoms; magnetization = 0.0 μB per formula unit
1.0
8.7093 -2.2411 0.0000
8.7093 2.2411 0.0000
-3.6216 0.0000 8.0274
K Tb Hg Te
2 1 2 4
direct
0.1279 0.1279 0.0808 K
0.8721 0.8721 0.9192 K
0.0000 0.0000 0.5000 Tb
0.3113 0.3113 0.4879 Hg
0.6887 0.6887 0.5121 Hg
0.1910 0.1910 0.7352 Te
0.4843 0.4843 0.7360 Te
0.5157 0.5157 0.2640 Te
0.8090 0.8090 0.2648 Te

---

# 5
PBE Mg2ZrRh, relaxed; space group = Cm; raw total energy = -5.0115 eV/atom; ΔH_f (0 K) = -0.957 eV per formula unit; magnetization = 0.0 μB per formula unit
1.0
4.9770 -1.5467 0.0000
4.9770 1.5467 0.0000
-1.5655 0.0000 5.0018
Mg Zr Rh
2 1 1
direct
0.0000 0.0000 0.0000 Mg
0.2271 0.2271 0.7872 Mg
0.7821 0.7821 0.3260 Zr
0.5177 0.5177 0.4739 Rh

---

# 6
PBE SmPuS2, relaxed; space group = R-3m; offset from the most stable computed form = 565 meV per atom; raw total energy = -8.1773 eV/atom; uncorrected formation energy = -130 kJ per mole of atoms; magnetization = 5.4 μB per formula unit
1.0
2.0385 1.1769 8.2444
-2.0385 1.1769 8.2444
0.0000 -2.3538 8.2444
Sm Pu S
1 1 2
direct
0.0000 0.0000 0.0000 Sm
0.5000 0.5000 0.5000 Pu
0.1086 0.1086 0.1086 S
0.8914 0.8914 0.8914 S

---

# 7
PBE Pm3ErAg7, relaxed; space group = Cmcm; raw total energy = -3.6837 eV/atom; ΔH_f (0 K) = -1.747 eV per formula unit; magnetization = 0.0 μB per formula unit
1.0
1.8710 -10.5266 0.0000
1.8710 10.5266 0.0000
0.0000 0.0000 13.9020
Pm Er Ag
6 2 14
direct
0.1263 0.8737 0.5370 Pm
0.1263 0.8737 0.9630 Pm
0.2244 0.7756 0.2500 Pm
0.7756 0.2244 0.7500 Pm
0.8737 0.1263 0.0370 Pm
0.8737 0.1263 0.4630 Pm
0.0087 0.9913 0.2500 Er
0.9913 0.0087 0.7500 Er
0.2706 0.7294 0.5680 Ag
0.2706 0.7294 0.9320 Ag
0.3876 0.6124 0.2500 Ag
0.3894 0.6106 0.6502 Ag
0.3894 0.6106 0.8498 Ag
0.4833 0.5167 0.0921 Ag
0.4833 0.5167 0.4079 Ag
0.5167 0.4833 0.5921 Ag
0.5167 0.4833 0.9079 Ag
0.6106 0.3894 0.1502 Ag
0.6106 0.3894 0.3498 Ag
0.6124 0.3876 0.7500 Ag
0.7294 0.2706 0.0680 Ag
0.7294 0.2706 0.4320 Ag

---

# 8
PBE Fe2BRhPb, relaxed; space group = P4/mmm; raw total energy = -5.6278 eV/atom; ΔH_f (0 K) = 6.524 eV per formula unit; magnetization = 0.2 μB per formula unit
1.0
4.6323 0.0000 0.0000
0.0000 4.6323 0.0000
0.0000 0.0000 3.9679
Fe B Rh Pb
2 1 1 1
direct
0.0000 0.5000 0.0000 Fe
0.5000 0.0000 0.0000 Fe
0.0000 0.0000 0.5000 B
0.0000 0.0000 0.0000 Rh
0.5000 0.5000 0.5000 Pb

---

# 9
PBE VRh2Br, relaxed; space group = Fm-3m; offset from the most stable computed form = 38 meV per atom; raw total energy = -5.8756 eV/atom; uncorrected formation energy = 48 kJ per mole of atoms; magnetization = 1.3 μB per formula unit
1.0
0.0000 3.1578 3.1578
3.1578 0.0000 3.1578
3.1578 3.1578 0.0000
V Rh Br
1 2 1
direct
0.0000 0.0000 0.0000 V
0.2500 0.2500 0.2500 Rh
0.7500 0.7500 0.7500 Rh
0.5000 0.5000 0.5000 Br

---

# 10
PBE Dy4InTe2Pb, relaxed; space group = P2/m; raw total energy = -4.7555 eV/atom; uncorrected formation energy = -83 kJ per mole of atoms; magnetization = 0.0 μB per formula unit
1.0
7.2569 0.0000 0.0000
0.0000 4.3629 0.0000
-2.5877 0.0000 7.5584
Dy In Te Pb
4 1 2 1
direct
0.2473 0.0000 0.2504 Dy
0.2525 0.5000 0.7531 Dy
0.7475 0.5000 0.2469 Dy
0.7527 0.0000 0.7496 Dy
0.0000 0.5000 0.0000 In
0.0000 0.0000 0.5000 Te
0.5000 0.5000 0.5000 Te
0.5000 0.0000 0.0000 Pb

---

# 11
PBE CdSbRu2, relaxed; space group = Cm; raw total energy = -5.6731 eV/atom; uncorrected formation energy = 22 kJ per mole of atoms; magnetization = 0.0 μB per formula unit
1.0
4.9995 -1.5323 0.0000
4.9995 1.5323 0.0000
-1.6771 0.0000 4.5006
Cd Sb Ru
1 1 2
direct
0.0000 0.0000 0.0000 Cd
0.2172 0.2172 0.6104 Sb
0.4691 0.4691 0.4872 Ru
0.7506 0.7506 0.1054 Ru

---

# 12
PBE HoFeC2, relaxed; space group = Amm2; raw total energy = -8.1460 eV/atom; ΔH_f (0 K) = -1.096 eV per formula unit; magnetization = 1.0 μB per formula unit
1.0
3.5875 0.0000 0.0000
0.0000 2.2699 2.9604
0.0000 -2.2699 2.9604
Ho Fe C
1 1 2
direct
0.0000 0.0000 0.0000 Ho
0.5000 0.6092 0.6092 Fe
0.5000 0.1394 0.4489 C
0.5000 0.4489 0.1394 C

---

Question: Which value of raw total energy does entry 2 give?
Answer: -8.9618 eV/atom

---

Question: Number 7 is which compound?
Answer: Pm3ErAg7